No. 1
Material: SbPd2Rh
Method: DFT, PBE-GGA
State: optimized geometry

Values from the calculation:
Density of states at the Fermi level ... 2.3 states/eV per cell
Space-group type ... P4/mmm, No. 123
Calculated total energy ... -5.7847 eV/atom

```
data_SbPd2Rh
_space_group_name_H-M_alt 'P 1'
_space_group_IT_number 1
_cell_length_a 3.9578
_cell_length_b 3.9578
_cell_length_c 4.1403
_cell_angle_alpha 90.00
_cell_angle_beta 90.00
_cell_angle_gamma 90.00
loop_
_space_group_symop_operation_xyz
'x,y,z'
loop_
_atom_site_label
_atom_site_type_symbol
_atom_site_fract_x
_atom_site_fract_y
_atom_site_fract_z
Sb1 Sb 0.0000 0.0000 0.0000
Pd1 Pd 0.0000 0.5000 0.5000
Pd2 Pd 0.5000 0.0000 0.5000
Rh1 Rh 0.5000 0.5000 0.0000
```

No. 2
Material: Sb2Pd3Rh
Method: DFT, PBE-GGA
State: optimized geometry

Values from the calculation:
Density of states at the Fermi level ... 3.2 states/eV per cell
Energy above the lowest structure with this stoichiometry ... 0.0586 eV/atom
Space-group type ... P-1, No. 2
Calculated total energy ... -5.5578 eV/atom

```
data_Sb2Pd3Rh
_space_group_name_H-M_alt 'P 1'
_space_group_IT_number 1
_cell_length_a 3.9197
_cell_length_b 4.1937
_cell_length_c 6.8452
_cell_angle_alpha 81.44
_cell_angle_beta 73.39
_cell_angle_gamma 89.96
loop_
_space_group_symop_operation_xyz
'x,y,z'
loop_
_atom_site_label
_atom_site_type_symbol
_atom_site_fract_x
_atom_site_fract_y
_atom_site_fract_z
Sb1 Sb 0.1438 0.0850 0.2125
Sb2 Sb 0.8562 0.9150 0.7875
Pd1 Pd 0.0000 0.5000 0.5000
Pd2 Pd 0.3353 0.3984 0.8264
Pd3 Pd 0.6647 0.6016 0.1736
Rh1 Rh 0.5000 0.0000 0.5000
```

No. 3
Material: Sb8PdRh2
Method: DFT, PBE-GGA
State: optimized geometry

Values from the calculation:
Density of states at the Fermi level ... 6.1 states/eV per cell
Space-group type ... P-1, No. 2
Calculated total energy ... -4.8798 eV/atom

```
data_Sb8PdRh2
_space_group_name_H-M_alt 'P 1'
_space_group_IT_number 1
_cell_length_a 4.6153
_cell_length_b 8.5412
_cell_length_c 8.8450
_cell_angle_alpha 67.06
_cell_angle_beta 89.87
_cell_angle_gamma 74.54
loop_
_space_group_symop_operation_xyz
'x,y,z'
loop_
_atom_site_label
_atom_site_type_symbol
_atom_site_fract_x
_atom_site_fract_y
_atom_site_fract_z
Sb1 Sb 0.0534 0.3949 0.3663
Sb2 Sb 0.1298 0.2415 0.8854
Sb3 Sb 0.3251 0.8482 0.2773
Sb4 Sb 0.4165 0.6681 0.8573
Sb5 Sb 0.5835 0.3319 0.1427
Sb6 Sb 0.6749 0.1518 0.7227
Sb7 Sb 0.8702 0.7585 0.1146
Sb8 Sb 0.9466 0.6051 0.6337
Pd1 Pd 0.5000 0.5000 0.5000
Rh1 Rh 0.1548 0.1865 0.1929
Rh2 Rh 0.8452 0.8135 0.8071
```

No. 4
Material: Sb2Pd3Rh
Method: DFT, PBE-GGA
State: optimized geometry

Values from the calculation:
Density of states at the Fermi level ... 6.1 states/eV per cell
Energy above the lowest structure with this stoichiometry ... 0.0000 eV/atom
Space-group type ... Ibam, No. 72
Calculated total energy ... -5.6164 eV/atom

```
data_Sb2Pd3Rh
_space_group_name_H-M_alt 'P 1'
_space_group_IT_number 1
_cell_length_a 7.7134
_cell_length_b 7.7134
_cell_length_c 7.7134
_cell_angle_alpha 136.26
_cell_angle_beta 63.76
_cell_angle_gamma 136.03
loop_
_space_group_symop_operation_xyz
'x,y,z'
loop_
_atom_site_label
_atom_site_type_symbol
_atom_site_fract_x
_atom_site_fract_y
_atom_site_fract_z
Sb1 Sb 0.1340 0.2369 0.3709
Sb2 Sb 0.3660 0.7369 0.1029
Sb3 Sb 0.6340 0.2631 0.8971
Sb4 Sb 0.8660 0.7631 0.6291
Pd1 Pd 0.1655 0.7408 0.9063
Pd2 Pd 0.2500 0.7500 0.5000
Pd3 Pd 0.3345 0.2408 0.5754
Pd4 Pd 0.6655 0.7592 0.4246
Pd5 Pd 0.7500 0.2500 0.5000
Pd6 Pd 0.8345 0.2592 0.0937
Rh1 Rh 0.2500 0.2500 0.0000
Rh2 Rh 0.7500 0.7500 0.0000
```

No. 5
Material: SbPdRh3
Method: DFT, PBE-GGA
State: optimized geometry

Values from the calculation:
Density of states at the Fermi level ... 5.7 states/eV per cell
Energy above the lowest structure with this stoichiometry ... 0.0000 eV/atom
Space-group type ... Pm-3m, No. 221
Calculated total energy ... -5.1819 eV/atom

```
data_SbPdRh3
_space_group_name_H-M_alt 'P 1'
_space_group_IT_number 1
_cell_length_a 4.7930
_cell_length_b 4.7930
_cell_length_c 4.7930
_cell_angle_alpha 90.00
_cell_angle_beta 90.00
_cell_angle_gamma 90.00
loop_
_space_group_symop_operation_xyz
'x,y,z'
loop_
_atom_site_label
_atom_site_type_symbol
_atom_site_fract_x
_atom_site_fract_y
_atom_site_fract_z
Sb1 Sb 0.0000 0.0000 0.0000
Pd1 Pd 0.5000 0.5000 0.5000
Rh1 Rh 0.0000 0.0000 0.5000
Rh2 Rh 0.0000 0.5000 0.0000
Rh3 Rh 0.5000 0.0000 0.0000
```

No. 6
Material: Sb2Pd2Rh
Method: DFT, PBE-GGA
State: optimized geometry

Values from the calculation:
Density of states at the Fermi level ... 5.0 states/eV per cell
Energy above the lowest structure with this stoichiometry ... 0.0000 eV/atom
Space-group type ... P4/mbm, No. 127
Calculated total energy ... -5.4172 eV/atom

```
data_Sb2Pd2Rh
_space_group_name_H-M_alt 'P 1'
_space_group_IT_number 1
_cell_length_a 7.0580
_cell_length_b 7.0580
_cell_length_c 3.7893
_cell_angle_alpha 90.00
_cell_angle_beta 90.00
_cell_angle_gamma 90.00
loop_
_space_group_symop_operation_xyz
'x,y,z'
loop_
_atom_site_label
_atom_site_type_symbol
_atom_site_fract_x
_atom_site_fract_y
_atom_site_fract_z
Sb1 Sb 0.1576 0.3424 0.0000
Sb2 Sb 0.3424 0.8424 0.0000
Sb3 Sb 0.6576 0.1576 0.0000
Sb4 Sb 0.8424 0.6576 0.0000
Pd1 Pd 0.1428 0.6428 0.5000
Pd2 Pd 0.3572 0.1428 0.5000
Pd3 Pd 0.6428 0.8572 0.5000
Pd4 Pd 0.8572 0.3572 0.5000
Rh1 Rh 0.0000 0.0000 0.0000
Rh2 Rh 0.5000 0.5000 0.0000
```

No. 7
Material: Sb2PdRh
Method: DFT, PBE-GGA
State: optimized geometry

Values from the calculation:
Density of states at the Fermi level ... 2.4 states/eV per cell
Energy above the lowest structure with this stoichiometry ... 0.0000 eV/atom
Space-group type ... R-3m, No. 166
Calculated total energy ... -5.4247 eV/atom

```
data_Sb2PdRh
_space_group_name_H-M_alt 'P 1'
_space_group_IT_number 1
_cell_length_a 8.2933
_cell_length_b 8.2933
_cell_length_c 8.2933
_cell_angle_alpha 23.21
_cell_angle_beta 23.21
_cell_angle_gamma 23.21
loop_
_space_group_symop_operation_xyz
'x,y,z'
loop_
_atom_site_label
_atom_site_type_symbol
_atom_site_fract_x
_atom_site_fract_y
_atom_site_fract_z
Sb1 Sb 0.2475 0.2475 0.2475
Sb2 Sb 0.7525 0.7525 0.7525
Pd1 Pd 0.0000 0.0000 0.0000
Rh1 Rh 0.5000 0.5000 0.5000
```

No. 8
Material: Sb4PdRh
Method: DFT, PBE-GGA
State: optimized geometry

Values from the calculation:
Density of states at the Fermi level ... 8.2 states/eV per cell
Space-group type ... P2_1/c, No. 14
Calculated total energy ... -5.1957 eV/atom

```
data_Sb4PdRh
_space_group_name_H-M_alt 'P 1'
_space_group_IT_number 1
_cell_length_a 6.4798
_cell_length_b 6.5530
_cell_length_c 6.5287
_cell_angle_alpha 90.00
_cell_angle_beta 92.66
_cell_angle_gamma 90.00
loop_
_space_group_symop_operation_xyz
'x,y,z'
loop_
_atom_site_label
_atom_site_type_symbol
_atom_site_fract_x
_atom_site_fract_y
_atom_site_fract_z
Sb1 Sb 0.1182 0.1302 0.1370
Sb2 Sb 0.1182 0.3698 0.6370
Sb3 Sb 0.3705 0.6299 0.1170
Sb4 Sb 0.3705 0.8701 0.6170
Sb5 Sb 0.6295 0.1299 0.3830
Sb6 Sb 0.6295 0.3701 0.8830
Sb7 Sb 0.8818 0.6302 0.3630
Sb8 Sb 0.8818 0.8698 0.8630
Pd1 Pd 0.5000 0.0000 0.0000
Pd2 Pd 0.5000 0.5000 0.5000
Rh1 Rh 0.0000 0.0000 0.5000
Rh2 Rh 0.0000 0.5000 0.0000
```

No. 9
Material: Sb2Pd2Rh
Method: DFT, PBE-GGA
State: optimized geometry

Values from the calculation:
Density of states at the Fermi level ... 3.7 states/eV per cell
Energy above the lowest structure with this stoichiometry ... 0.1951 eV/atom
Space-group type ... I4/mmm, No. 139
Calculated total energy ... -5.2221 eV/atom

```
data_Sb2Pd2Rh
_space_group_name_H-M_alt 'P 1'
_space_group_IT_number 1
_cell_length_a 7.6018
_cell_length_b 7.6018
_cell_length_c 7.6018
_cell_angle_alpha 151.81
_cell_angle_beta 151.81
_cell_angle_gamma 40.30
loop_
_space_group_symop_operation_xyz
'x,y,z'
loop_
_atom_site_label
_atom_site_type_symbol
_atom_site_fract_x
_atom_site_fract_y
_atom_site_fract_z
Sb1 Sb 0.1050 0.1050 0.0000
Sb2 Sb 0.8950 0.8950 0.0000
Pd1 Pd 0.2500 0.7500 0.5000
Pd2 Pd 0.7500 0.2500 0.5000
Rh1 Rh 0.5000 0.5000 0.0000
```

No. 10
Material: SbPdRh2
Method: DFT, PBE-GGA
State: optimized geometry

Values from the calculation:
Density of states at the Fermi level ... 12.0 states/eV per cell
Space-group type ... I-42d, No. 122
Calculated total energy ... -5.9210 eV/atom

```
data_SbPdRh2
_space_group_name_H-M_alt 'P 1'
_space_group_IT_number 1
_cell_length_a 9.7569
_cell_length_b 9.7569
_cell_length_c 9.7569
_cell_angle_alpha 157.13
_cell_angle_beta 157.13
_cell_angle_gamma 32.57
loop_
_space_group_symop_operation_xyz
'x,y,z'
loop_
_atom_site_label
_atom_site_type_symbol
_atom_site_fract_x
_atom_site_fract_y
_atom_site_fract_z
Sb1 Sb 0.0000 0.0000 0.0000
Sb2 Sb 0.7500 0.2500 0.5000
Pd1 Pd 0.2500 0.7500 0.5000
Pd2 Pd 0.5000 0.5000 0.0000
Rh1 Rh 0.1405 0.6250 0.0155
Rh2 Rh 0.3750 0.3905 0.5155
Rh3 Rh 0.6095 0.1250 0.9845
Rh4 Rh 0.8750 0.8595 0.4845
```

No. 11
Material: SbPd14Rh
Method: DFT, PBE-GGA
State: optimized geometry

Values from the calculation:
Density of states at the Fermi level ... 32.3 states/eV per cell
Space-group type ... Amm2, No. 38
Calculated total energy ... -5.3417 eV/atom

```
data_SbPd14Rh
_space_group_name_H-M_alt 'P 1'
_space_group_IT_number 1
_cell_length_a 9.1862
_cell_length_b 5.6001
_cell_length_c 5.6001
_cell_angle_alpha 59.88
_cell_angle_beta 90.00
_cell_angle_gamma 90.00
loop_
_space_group_symop_operation_xyz
'x,y,z'
loop_
_atom_site_label
_atom_site_type_symbol
_atom_site_fract_x
_atom_site_fract_y
_atom_site_fract_z
Sb1 Sb 0.0000 0.0000 0.0000
Pd1 Pd 0.0000 0.4995 0.9978
Pd2 Pd 0.0000 0.9978 0.4995
Pd3 Pd 0.2490 0.1668 0.6644
Pd4 Pd 0.2490 0.6644 0.1668
Pd5 Pd 0.2503 0.6644 0.6644
Pd6 Pd 0.2507 0.1651 0.1651
Pd7 Pd 0.5000 0.3320 0.3320
Pd8 Pd 0.5000 0.3320 0.8317
Pd9 Pd 0.5000 0.8317 0.3320
Pd10 Pd 0.5000 0.8316 0.8316
Pd11 Pd 0.7493 0.1651 0.1651
Pd12 Pd 0.7497 0.6644 0.6644
Pd13 Pd 0.7510 0.1668 0.6644
Pd14 Pd 0.7510 0.6644 0.1668
Rh1 Rh 0.0000 0.5004 0.5004
```

No. 12
Material: Sm2Sb3PdRh4
Method: DFT, PBE-GGA
State: optimized geometry

Values from the calculation:
Density of states at the Fermi level ... 5.7 states/eV per cell
Space-group type ... P-4m2, No. 115
Calculated total energy ... -6.3820 eV/atom

```
data_Sm2Sb3PdRh4
_space_group_name_H-M_alt 'P 1'
_space_group_IT_number 1
_cell_length_a 4.1681
_cell_length_b 4.1681
_cell_length_c 11.8438
_cell_angle_alpha 90.00
_cell_angle_beta 90.00
_cell_angle_gamma 90.00
loop_
_space_group_symop_operation_xyz
'x,y,z'
loop_
_atom_site_label
_atom_site_type_symbol
_atom_site_fract_x
_atom_site_fract_y
_atom_site_fract_z
Sm1 Sm 0.0000 0.5000 0.2284
Sm2 Sm 0.5000 0.0000 0.7716
Sb1 Sb 0.0000 0.0000 0.0000
Sb2 Sb 0.0000 0.5000 0.6318
Sb3 Sb 0.5000 0.0000 0.3682
Pd1 Pd 0.5000 0.5000 0.0000
Rh1 Rh 0.0000 0.0000 0.5000
Rh2 Rh 0.0000 0.5000 0.8458
Rh3 Rh 0.5000 0.0000 0.1542
Rh4 Rh 0.5000 0.5000 0.5000
```

Here are the calculated E_form (uncorrected) numbers, same order: -7.38; -8.35; -1.68; -9.70; 25.18; -5.09; -5.24; -8.23; -0.59; 1.93; -1.86; -17.10 (kcal/mol of atoms).